An optimized crystal structure of K3Rb. Source: Alexandria, functional GGA-PBE.

Properties
* formation energy from the elements: 0.060 eV/atom

```
K3Rb
1.0
4.5865 0.0000 0.0000
0.0000 8.5936 0.0000
0.0000 0.0000 8.0076
K Rb
3 1
Direct
0.0000 0.0000 0.0000 K
0.0000 0.5000 0.0055 K
0.5000 0.0000 0.4995 K
0.5000 0.5000 0.5054 Rb
```